## SrWI2O (PBE with a Hubbard U)

Data for crystalline SrWI2O at its relaxed geometry.

Unit cell a=6.2295 b=6.2295 c=3.9886 alpha=90.00 beta=90.00 gamma=90.00
Last column: nearest neighbours and their distance in Å.
Positions (direct):
I 0.0000 0.5000 0.0000  2 W 3.11
I 0.5000 0.0000 0.0000  2 W 3.11
Sr 0.5000 0.5000 0.5000  8 I 3.70, 2 Sr 3.99
O 0.0000 0.0000 0.5000  2 W 1.99
W 0.0000 0.0000 0.0000  2 O 1.99

Output
As for the total magnetization: 3.67 μB per cell. The crystal system is tetragonal. For the offset from the most stable computed form, the calculation gives 0 meV/atom.